{"formula": "DyWO4", "functional": "PBE with a Hubbard U", "state": "optimized geometry", "lattice_angstrom": [[5.206, 0.000, 0.000], [0.000, 5.545, 0.000], [-0.642, 0.000, 5.290]], "species": ["Dy", "Dy", "W", "W", "O", "O", "O", "O", "O", "O", "O", "O"], "fractional_positions": [[0.000, 0.229, 0.250], [0.000, 0.771, 0.750], [0.500, 0.311, 0.750], [0.500, 0.689, 0.250], [0.242, 0.090, 0.607], [0.242, 0.910, 0.107], [0.269, 0.431, 0.999], [0.269, 0.569, 0.499], [0.731, 0.431, 0.501], [0.731, 0.569, 0.001], [0.758, 0.090, 0.893], [0.758, 0.910, 0.393]], "final_energy_ev_per_cell": -96.14}